(1)
This record from Alexandria via LeMat-Bulk describes a relaxed CeTmTcPt crystal. The functional is PBE.

Cell lengths 4.892, 4.892, 4.892 Å; angles 60.00, 60.00, 60.00 degrees
Atoms (fractional coordinates):
Ce1 0.000 0.000 0.000
Pt1 0.750 0.750 0.750
Tm1 0.500 0.500 0.500
Tc1 0.250 0.250 0.250

Properties
As for the space group: No. 216. The energy comes out at -7.2615 eV per atom. As for the formation energy: -0.56 eV/atom.

(2)
This record from Alexandria via LeMat-Bulk describes a relaxed ScFe4Tc crystal. The functional is PBE.

Cell lengths 4.823, 4.823, 4.823 Å; angles 60.00, 60.00, 60.00 degrees
Atoms (fractional coordinates):
Fe1 0.122 0.626 0.626
Fe2 0.626 0.626 0.122
Fe3 0.626 0.122 0.626
Fe4 0.626 0.626 0.626
Tc1 0.000 0.000 0.000
Sc1 0.250 0.250 0.250

Properties
As for the space group: No. 216. The energy comes out at -8.4746 eV per atom. As for the formation energy: -0.05 eV/atom.

(3)
This record from Alexandria via LeMat-Bulk describes a relaxed Y4Er5Sc2 crystal. The functional is PBE.

Cell lengths 3.599, 6.474, 16.084 Å; angles 93.06, 70.41, 73.85 degrees
Atoms (fractional coordinates):
Y1 0.037 0.601 0.108
Y2 0.765 0.473 0.332
Y3 0.235 0.527 0.668
Y4 0.963 0.399 0.892
Er1 0.500 0.000 0.000
Er2 0.907 0.087 0.700
Er3 0.836 0.778 0.517
Er4 0.093 0.913 0.300
Er5 0.164 0.222 0.483
Sc1 0.656 0.173 0.172
Sc2 0.344 0.827 0.828

Properties
As for the space group: No. 12. The energy comes out at -5.5346 eV per atom. As for the distance to the lowest polymorph of the same formula: 0.000 eV/atom. As for the formation energy: 0.04 eV/atom.

Question: energy of number 2 (ScFe4Tc)?
Answer: -8.4746 eV per atom